Entry 1:
# MgPaBeO5 PBE optimized geometry
data_MgPaBeO5
_cell_length_a 6.452
_cell_length_b 8.524
_cell_length_c 7.906
_cell_angle_alpha 90.00
_cell_angle_beta 113.25
_cell_angle_gamma 90.00
_space_group_name_H-M_alt 'C 1 2/c 1'
_space_group_IT_number 15
_space_group_name_Hall '-C 2yc'
loop_
_atom_site_label
_atom_site_fract_x
_atom_site_fract_y
_atom_site_fract_z
Mg1 0.000 0.138 0.250
Pa1 0.000 0.500 0.000
Be1 0.000 0.185 0.750
O1 0.000 0.377 0.250
O2 0.149 0.304 0.676
O3 0.155 0.059 0.910
# - Electronic total energy: -7.635 eV per atom
# - Formation energy (no corrections): -2.6841 eV per atom

---

Entry 2:
# Mg2Be2PbO6 PBE optimized geometry
data_Mg2Be2PbO6
_cell_length_a 5.1304
_cell_length_b 5.1304
_cell_length_c 5.2879
_cell_angle_alpha 90.00
_cell_angle_beta 90.00
_cell_angle_gamma 120.00
_space_group_name_H-M_alt 'P -3'
_space_group_IT_number 147
_space_group_name_Hall '-P 3'
loop_
_atom_site_label
_atom_site_fract_x
_atom_site_fract_y
_atom_site_fract_z
Mg1 0.3333 0.6667 0.3996
Be1 0.3333 0.6667 0.8433
Pb1 0.0000 0.0000 0.0000
O1 0.0382 0.6616 0.7620
# - Electronic total energy: -5.993 eV per atom
# - Formation energy (no corrections): -1.9843 eV per atom

---

Entry 3:
# MgBePbO4 PBE optimized geometry
data_MgBePbO4
_cell_length_a 5.919
_cell_length_b 6.222
_cell_length_c 8.387
_cell_angle_alpha 90.00
_cell_angle_beta 90.00
_cell_angle_gamma 90.00
_space_group_name_H-M_alt 'I m m a'
_space_group_IT_number 74
_space_group_name_Hall '-I 2b 2'
loop_
_atom_site_label
_atom_site_fract_x
_atom_site_fract_y
_atom_site_fract_z
Mg1 0.250 0.250 0.250
Be1 0.000 0.250 0.633
Pb1 0.000 0.000 0.000
O1 0.000 0.002 0.743
O2 0.231 0.250 0.501
# - Electronic total energy: -5.822 eV per atom
# - Formation energy (no corrections): -1.6987 eV per atom